# 1
The following is a DFT calculation (GGA-PBEsol) of a geometry-optimized ScSi2Pt structure.

a = 5.208 Å, b = 5.208 Å, c = 5.208 Å
α = 45.25°, β = 45.25°, γ = 45.25°
Atoms (fractional coordinates):
Sc  0.000  0.000  0.000
Si  0.223  0.223  0.223
Si  0.777  0.777  0.777
Pt  0.500  0.500  0.500

Summary:
magnetization = 0.00 μB per cell
symmetry = R-3m, No. 166
energy = -7.064 eV per atom
N(E_F) = 1.83 states/eV/f.u.



# 2
The following is a DFT calculation (GGA-PBEsol) of a geometry-optimized Sc2Si2Pt3 structure.

a = 6.322 Å, b = 8.651 Å, c = 4.024 Å
α = 90.00°, β = 90.00°, γ = 90.00°
Atoms (fractional coordinates):
Sc  0.109  0.170  0.000
Sc  0.391  0.670  0.000
Sc  0.609  0.330  0.000
Sc  0.891  0.830  0.000
Si  0.076  0.651  0.500
Si  0.424  0.151  0.500
Si  0.576  0.849  0.500
Si  0.924  0.349  0.500
Pt  0.000  0.500  0.000
Pt  0.191  0.914  0.500
Pt  0.309  0.414  0.500
Pt  0.500  0.000  0.000
Pt  0.691  0.586  0.500
Pt  0.809  0.086  0.500

Summary:
magnetization = 0.00 μB per cell
symmetry = Pbam, No. 55
energy = -7.759 eV per atom
N(E_F) = 1.17 states/eV/f.u.



# 3
The following is a DFT calculation (GGA-PBEsol) of a geometry-optimized Sc2SiPt structure.

a = 9.541 Å, b = 9.541 Å, c = 9.541 Å
α = 155.28°, β = 155.28°, γ = 35.25°
Atoms (fractional coordinates):
Sc  0.114  0.625  0.989
Sc  0.375  0.364  0.489
Sc  0.636  0.125  0.011
Sc  0.875  0.886  0.511
Si  0.000  0.000  0.000
Si  0.750  0.250  0.500
Pt  0.250  0.750  0.500
Pt  0.500  0.500  0.000

Summary:
magnetization = 0.00 μB per cell
symmetry = I-42d, No. 122
energy = -6.693 eV per atom
N(E_F) = 2.65 states/eV/f.u.



# 4
The following is a DFT calculation (GGA-PBEsol) of a geometry-optimized Sc2SiPt structure.

a = 4.118 Å, b = 5.337 Å, c = 5.337 Å
α = 37.89°, β = 90.00°, γ = 90.00°
Atoms (fractional coordinates):
Sc  0.000  0.000  0.000
Sc  0.500  0.293  0.293
Si  0.500  0.569  0.569
Pt  0.000  0.724  0.724

Summary:
magnetization = 0.00 μB per cell
symmetry = Amm2, No. 38
energy = -7.526 eV per atom
N(E_F) = 1.82 states/eV/f.u.



# 5
The following is a DFT calculation (GGA-PBEsol) of a geometry-optimized Sc4Si2Pt7 structure.

a = 6.440 Å, b = 16.119 Å, c = 3.974 Å
α = 90.00°, β = 90.00°, γ = 90.00°
Atoms (fractional coordinates):
Sc  0.026  0.209  0.000
Sc  0.213  0.961  0.000
Sc  0.287  0.461  0.000
Sc  0.474  0.709  0.000
Sc  0.526  0.291  0.000
Sc  0.713  0.539  0.000
Sc  0.787  0.039  0.000
Sc  0.974  0.791  0.000
Si  0.161  0.693  0.500
Si  0.339  0.193  0.500
Si  0.661  0.807  0.500
Si  0.839  0.307  0.500
Pt  0.000  0.500  0.500
Pt  0.092  0.617  0.000
Pt  0.096  0.079  0.500
Pt  0.214  0.333  0.500
Pt  0.286  0.833  0.500
Pt  0.404  0.579  0.500
Pt  0.408  0.117  0.000
Pt  0.500  0.000  0.500
Pt  0.592  0.883  0.000
Pt  0.596  0.421  0.500
Pt  0.714  0.167  0.500
Pt  0.786  0.667  0.500
Pt  0.904  0.921  0.500
Pt  0.908  0.383  0.000

Summary:
magnetization = 0.00 μB per cell
symmetry = Pbam, No. 55
energy = -7.871 eV per atom
N(E_F) = 4.86 states/eV/f.u.



# 6
The following is a DFT calculation (GGA-PBEsol) of a geometry-optimized SrSc2Pt structure.

a = 3.385 Å, b = 3.385 Å, c = 8.808 Å
α = 90.00°, β = 90.00°, γ = 90.00°
Atoms (fractional coordinates):
Sr  0.000  0.000  0.000
Sc  0.500  0.500  0.333
Sc  0.500  0.500  0.667
Pt  0.000  0.000  0.500

Summary:
magnetization = 0.00 μB per cell
symmetry = P4/mmm, No. 123
energy = -5.929 eV per atom
N(E_F) = 5.76 states/eV/f.u.
distance to the lowest polymorph of the same formula = 0 meV/atom
energy of formation from the pure elements = -0.43 eV/atom



# 7
The following is a DFT calculation (GGA-PBEsol) of a geometry-optimized SrSc2Pt2 structure.

a = 6.562 Å, b = 6.562 Å, c = 6.562 Å
α = 140.53°, β = 140.53°, γ = 57.05°
Atoms (fractional coordinates):
Sr  0.000  0.000  0.000
Sc  0.250  0.750  0.500
Sc  0.750  0.250  0.500
Pt  0.383  0.383  0.000
Pt  0.617  0.617  0.000

Summary:
magnetization = 0.00 μB per cell
symmetry = I4/mmm, No. 139
energy = -6.748 eV per atom
N(E_F) = 2.74 states/eV/f.u.
energy of formation from the pure elements = -0.95 eV/atom



# 8
The following is a DFT calculation (GGA-PBEsol) of a geometry-optimized SrSc2Pt structure.

a = 5.789 Å, b = 5.789 Å, c = 5.789 Å
α = 137.15°, β = 137.15°, γ = 62.21°
Atoms (fractional coordinates):
Sr  0.000  0.000  0.000
Sc  0.250  0.750  0.500
Sc  0.500  0.500  0.000
Pt  0.750  0.250  0.500

Summary:
magnetization = 0.00 μB per cell
symmetry = I-4m2, No. 119
energy = -5.574 eV per atom
N(E_F) = 5.59 states/eV/f.u.
distance to the lowest polymorph of the same formula = 355 meV/atom
energy of formation from the pure elements = -0.07 eV/atom



# 9
The following is a DFT calculation (GGA-PBEsol) of a geometry-optimized ScTaPt2 structure.

a = 3.402 Å, b = 3.402 Å, c = 5.912 Å
α = 90.00°, β = 90.00°, γ = 90.00°
Atoms (fractional coordinates):
Sc  0.000  0.000  0.000
Ta  0.500  0.500  0.319
Pt  0.000  0.000  0.509
Pt  0.500  0.500  0.794

Summary:
magnetization = 0.00 μB per cell
symmetry = P4mm, No. 99
energy = -8.902 eV per atom
N(E_F) = 4.45 states/eV/f.u.
energy of formation from the pure elements = -0.63 eV/atom



# 10
The following is a DFT calculation (GGA-PBEsol) of a geometry-optimized ScTaPt2 structure.

a = 2.843 Å, b = 4.654 Å, c = 5.012 Å
α = 90.00°, β = 95.15°, γ = 90.00°
Atoms (fractional coordinates):
Sc  0.000  0.000  0.000
Ta  0.865  0.500  0.401
Pt  0.410  0.000  0.523
Pt  0.467  0.500  0.889

Summary:
magnetization = 0.00 μB per cell
symmetry = Pm, No. 6
energy = -9.145 eV per atom
N(E_F) = 2.80 states/eV/f.u.
energy of formation from the pure elements = -0.87 eV/atom



# 11
The following is a DFT calculation (GGA-PBEsol) of a geometry-optimized Sc2TaPt structure.

a = 9.711 Å, b = 9.711 Å, c = 9.711 Å
α = 18.05°, β = 18.05°, γ = 18.05°
Atoms (fractional coordinates):
Sc  0.000  0.000  0.000
Sc  0.233  0.233  0.233
Ta  0.749  0.749  0.749
Pt  0.491  0.491  0.491

Summary:
magnetization = 0.00 μB per cell
symmetry = R3m, No. 160
energy = -8.330 eV per atom
N(E_F) = 3.83 states/eV/f.u.
energy of formation from the pure elements = -0.15 eV/atom



# 12
The following is a DFT calculation (GGA-PBEsol) of a geometry-optimized ScTa2Pt structure.

a = 5.306 Å, b = 5.306 Å, c = 2.809 Å
α = 90.00°, β = 90.00°, γ = 118.62°
Atoms (fractional coordinates):
Sc  0.000  0.000  0.000
Ta  0.000  0.500  0.500
Ta  0.500  0.000  0.500
Pt  0.500  0.500  0.000

Summary:
magnetization = 0.00 μB per cell
symmetry = Cmmm, No. 65
energy = -9.807 eV per atom
N(E_F) = 3.79 states/eV/f.u.
distance to the lowest polymorph of the same formula = 147 meV/atom
energy of formation from the pure elements = -0.14 eV/atom